[1]
{
  "formula": "SrLi3Cd",
  "functional": "GGA-PBE",
  "state": "relaxed",
  "lattice_angstrom": [[5.035, 0.000, 0.000], [0.000, 7.432, 1.746], [0.000, 0.274, 7.007]],
  "species": ["Sr", "Sr", "Li", "Li", "Li", "Li", "Li", "Li", "Cd", "Cd"],
  "frac_coords": [[0.381, 0.555, 0.231], [0.881, 0.119, 0.576], [0.881, 0.281, 0.019], [0.881, 0.691, 0.892], [0.381, 0.984, 0.914], [0.881, 0.615, 0.542], [0.381, 0.395, 0.787], [0.381, 0.059, 0.264], [0.381, 0.774, 0.635], [0.881, 0.901, 0.171]],
  "m_tot_mub_per_fu": 0.0,
  "e_form_ev_per_fu": -0.55,
  "sg": "P2_1/m (11)"
}

---

[2]
{
  "formula": "Na2Cr2GeSe6",
  "functional": "GGA-PBE",
  "state": "relaxed",
  "lattice_angstrom": [[-1.469, 6.291, -0.060], [-4.640, -4.443, 0.683], [2.810, -0.358, 6.818]],
  "species": ["Se", "Se", "Se", "Se", "Se", "Se", "Na", "Na", "Cr", "Cr", "Ge"],
  "frac_coords": [[0.066, 0.405, 0.699], [0.934, 0.595, 0.301], [0.595, 0.934, 0.301], [0.405, 0.066, 0.699], [0.729, 0.729, 0.697], [0.271, 0.271, 0.303], [0.836, 0.164, 0.000], [0.164, 0.836, 0.000], [0.668, 0.332, 0.500], [0.332, 0.668, 0.500], [0.000, 0.000, 0.500]],
  "m_tot_mub_per_fu": 5.9,
  "sg": "C2/m (12)",
  "e_form_raw_mev_per_atom": -652
}

---

[3]
{
  "formula": "AcLuPt2",
  "functional": "GGA-PBE",
  "state": "relaxed",
  "lattice_angstrom": [[4.652, 0.000, 0.000], [2.326, 4.028, 0.000], [2.326, 1.343, 5.360]],
  "species": ["Pt", "Pt", "Ac", "Lu"],
  "frac_coords": [[0.781, 0.781, 0.658], [0.219, 0.219, 0.342], [0.000, 0.000, 0.000], [0.500, 0.500, 0.500]],
  "m_tot_mub_per_fu": 0.0,
  "e_form_ev_per_fu": -4.68,
  "sg": "R-3m (166)"
}

---

[4]
{
  "formula": "Co2As3",
  "functional": "GGA-PBE",
  "state": "relaxed",
  "lattice_angstrom": [[0.000, 4.776, 5.129], [3.124, 0.000, 5.129], [3.124, 4.776, 0.000]],
  "species": ["Co", "Co", "Co", "Co", "As", "As", "As", "As", "As", "As"],
  "frac_coords": [[0.587, 0.158, 0.992], [0.092, 0.663, 0.987], [0.258, 0.987, 0.663], [0.263, 0.992, 0.158], [0.083, 0.417, 0.417], [0.833, 0.167, 0.167], [0.537, 0.593, 0.839], [0.411, 0.218, 0.713], [0.032, 0.839, 0.593], [0.657, 0.713, 0.218]],
  "m_tot_mub_per_fu": 0.0,
  "e_form_ev_per_fu": -0.42,
  "sg": "Fdd2 (43)"
}

---

[5]
{
  "formula": "NaSr4In2",
  "functional": "GGA-PBE",
  "state": "relaxed",
  "lattice_angstrom": [[-3.724, -4.113, -1.828], [-2.935, -3.220, 3.891], [-9.206, 3.893, 0.663]],
  "species": ["Sr", "Sr", "Sr", "Sr", "In", "In", "Na"],
  "frac_coords": [[0.129, 0.129, 0.612], [0.871, 0.871, 0.388], [0.619, 0.619, 0.144], [0.381, 0.381, 0.856], [0.746, 0.746, 0.763], [0.254, 0.254, 0.237], [0.000, 0.000, 0.000]],
  "m_tot_mub_per_fu": 0.0,
  "e_form_ev_per_fu": -1.64,
  "sg": "R-3m (166)"
}

---

[6]
{
  "formula": "BiAuSe",
  "functional": "GGA-PBE",
  "state": "relaxed",
  "lattice_angstrom": [[4.137, 0.000, 0.000], [-2.069, 3.583, 0.000], [0.000, 0.000, 5.075]],
  "species": ["Au", "Se", "Bi"],
  "frac_coords": [[0.333, 0.667, 0.680], [0.000, 0.000, 0.966], [0.667, 0.333, 0.354]],
  "m_tot_mub_per_fu": 0.0,
  "sg": "P3m1 (156)",
  "e_form_raw_mev_per_atom": -144
}

---

[7]
{
  "formula": "Zr6Ga3Cu",
  "functional": "GGA-PBE",
  "state": "relaxed",
  "lattice_angstrom": [[-4.817, -1.067, 2.441], [-1.577, -5.294, -5.426], [4.147, -6.880, 5.508]],
  "species": ["Ga", "Ga", "Ga", "Ga", "Ga", "Ga", "Zr", "Zr", "Zr", "Zr", "Zr", "Zr", "Zr", "Zr", "Zr", "Zr", "Zr", "Zr", "Cu", "Cu"],
  "frac_coords": [[0.614, 0.874, 0.747], [0.500, 0.500, 0.000], [0.886, 0.374, 0.753], [0.000, 0.000, 0.500], [0.386, 0.126, 0.253], [0.114, 0.626, 0.247], [0.597, 0.168, 0.933], [0.156, 0.038, 0.753], [0.097, 0.332, 0.433], [0.093, 0.325, 0.066], [0.656, 0.462, 0.253], [0.844, 0.962, 0.247], [0.903, 0.668, 0.567], [0.403, 0.832, 0.067], [0.407, 0.825, 0.434], [0.593, 0.175, 0.566], [0.344, 0.538, 0.747], [0.907, 0.675, 0.934], [0.500, 0.500, 0.500], [0.000, 0.000, 0.000]],
  "m_tot_mub_per_fu": 0.0,
  "e_form_ev_per_fu": -2.17,
  "sg": "P2_1/c (14)"
}

---

[8]
{
  "formula": "NdTm3",
  "functional": "GGA-PBE",
  "state": "relaxed",
  "lattice_angstrom": [[3.619, 0.000, 0.000], [0.000, 6.226, 0.000], [-1.809, -3.113, 5.626]],
  "species": ["Tm", "Tm", "Tm", "Nd"],
  "frac_coords": [[0.248, 0.582, 0.495], [0.752, 0.087, 0.505], [0.500, 0.500, 0.000], [0.000, 0.997, 0.000]],
  "m_tot_mub_per_fu": 0.0,
  "e_form_ev_per_fu": 0.05,
  "sg": "Imm2 (44)"
}

---

[9]
{
  "formula": "MgMoP3",
  "functional": "GGA-PBE",
  "state": "relaxed",
  "lattice_angstrom": [[-1.835, 0.763, -4.277], [4.223, -0.778, -1.951], [-1.021, -4.589, -0.381]],
  "species": ["P", "P", "P", "Mg", "Mo"],
  "frac_coords": [[0.000, 0.000, 0.500], [0.500, 0.000, 0.000], [0.000, 0.500, 0.000], [0.500, 0.500, 0.500], [0.000, 0.000, 0.000]],
  "m_tot_mub_per_fu": 0.0,
  "e_form_ev_per_fu": 1.69,
  "sg": "Pm-3m (221)"
}

---

[10]
{
  "formula": "Tl7Hg2Pb",
  "functional": "GGA-PBE",
  "state": "relaxed",
  "lattice_angstrom": [[-2.018, 2.338, -1.588], [-8.421, -7.479, -0.310], [2.533, 7.581, 7.941]],
  "species": ["Pb", "Tl", "Tl", "Tl", "Tl", "Tl", "Tl", "Tl", "Hg", "Hg"],
  "frac_coords": [[0.000, 0.000, 0.000], [0.000, 0.810, 0.190], [0.500, 0.500, 0.500], [0.500, 0.680, 0.867], [0.500, 0.320, 0.133], [0.500, 0.133, 0.320], [0.000, 0.190, 0.810], [0.500, 0.867, 0.680], [0.500, 0.325, 0.675], [0.500, 0.675, 0.325]],
  "m_tot_mub_per_fu": 0.0,
  "e_form_ev_per_fu": 0.69,
  "sg": "Cmmm (65)"
}

---

[11]
{
  "formula": "Nd2YHo5Sc",
  "functional": "GGA-PBE",
  "state": "relaxed",
  "lattice_angstrom": [[8.502, 0.000, 0.000], [0.000, 8.502, 0.000], [-4.251, -4.251, 7.856]],
  "species": ["Ho", "Ho", "Ho", "Ho", "Ho", "Ho", "Ho", "Ho", "Ho", "Ho", "Sc", "Sc", "Nd", "Nd", "Nd", "Nd", "Y", "Y"],
  "frac_coords": [[0.853, 0.933, 0.286], [0.433, 0.353, 0.286], [0.067, 0.567, 0.714], [0.647, 0.147, 0.714], [0.567, 0.647, 0.714], [0.500, 0.500, 0.000], [0.147, 0.067, 0.714], [0.933, 0.433, 0.286], [0.353, 0.853, 0.286], [0.000, 0.000, 0.000], [0.750, 0.250, 0.500], [0.250, 0.750, 0.500], [0.620, 0.120, 0.000], [0.120, 0.380, 0.000], [0.880, 0.620, 0.000], [0.380, 0.880, 0.000], [0.250, 0.250, 0.500], [0.750, 0.750, 0.500]],
  "m_tot_mub_per_fu": 0.0,
  "e_form_ev_per_fu": 2.46,
  "sg": "I4/mcm (140)"
}

---

[12]
{
  "formula": "CaHfTlF7",
  "functional": "GGA-PBE",
  "state": "relaxed",
  "lattice_angstrom": [[-5.406, -3.643, 1.177], [5.094, -3.091, -2.894], [3.104, -2.113, 7.720]],
  "species": ["F", "F", "F", "F", "F", "F", "F", "F", "F", "F", "F", "F", "F", "F", "Ca", "Ca", "Tl", "Tl", "Hf", "Hf"],
  "frac_coords": [[0.352, 0.065, 0.750], [0.487, 0.513, 0.250], [0.648, 0.935, 0.250], [0.673, 0.979, 0.750], [0.065, 0.352, 0.250], [0.979, 0.673, 0.250], [0.021, 0.327, 0.750], [0.701, 0.299, 0.515], [0.513, 0.487, 0.750], [0.327, 0.021, 0.250], [0.935, 0.648, 0.750], [0.701, 0.299, 0.985], [0.299, 0.701, 0.485], [0.299, 0.701, 0.015], [0.311, 0.689, 0.750], [0.689, 0.311, 0.250], [0.000, 0.000, 0.000], [0.000, 0.000, 0.500], [0.694, 0.306, 0.750], [0.306, 0.694, 0.250]],
  "m_tot_mub_per_fu": 0.0,
  "sg": "Cmcm (63)",
  "e_form_raw_mev_per_atom": -3517
}

---

[13]
{
  "formula": "CsNa10Li",
  "functional": "GGA-PBE",
  "state": "relaxed",
  "lattice_angstrom": [[6.103, 0.000, 0.000], [0.000, 6.940, 0.000], [0.000, 0.000, 12.294]],
  "species": ["Cs", "Na", "Na", "Na", "Na", "Na", "Na", "Na", "Na", "Na", "Na", "Li"],
  "frac_coords": [[0.000, 0.500, 0.500], [0.500, 0.000, 0.500], [0.500, 0.757, 0.234], [0.000, 0.500, 0.146], [0.000, 0.500, 0.854], [0.500, 0.757, 0.766], [0.500, 0.243, 0.234], [0.500, 0.243, 0.766], [0.500, 0.500, 0.000], [0.000, 0.000, 0.292], [0.000, 0.000, 0.708], [0.000, 0.000, 0.000]],
  "m_tot_mub_per_fu": 0.0,
  "e_form_ev_per_fu": 0.97,
  "sg": "Pmmm (47)"
}

---

[14]
{
  "formula": "AgC3",
  "functional": "GGA-PBE",
  "state": "relaxed",
  "lattice_angstrom": [[3.814, -6.991, 0.000], [3.814, 6.991, 0.000], [0.000, 0.000, 2.594]],
  "species": ["Ag", "Ag", "C", "C", "C", "C", "C", "C"],
  "frac_coords": [[0.586, 0.414, 0.750], [0.414, 0.586, 0.250], [0.000, 0.000, 0.250], [0.501, 0.002, 0.750], [0.499, 0.998, 0.250], [0.000, 0.000, 0.750], [0.998, 0.499, 0.750], [0.002, 0.501, 0.250]],
  "m_tot_mub_per_fu": 0.0,
  "e_form_ev_per_fu": 3.86,
  "sg": "Cmcm (63)"
}

---

[15]
{
  "formula": "ZrHg2Cl",
  "functional": "GGA-PBE",
  "state": "relaxed",
  "lattice_angstrom": [[-4.943, -0.911, -0.895], [-3.525, 1.505, 3.373], [-3.141, 3.860, -1.141]],
  "species": ["Cl", "Hg", "Hg", "Zr"],
  "frac_coords": [[0.000, 0.000, 0.000], [0.250, 0.250, 0.250], [0.750, 0.750, 0.750], [0.500, 0.500, 0.500]],
  "m_tot_mub_per_fu": 0.0,
  "sg": "Fm-3m (225)",
  "e_form_raw_mev_per_atom": 216
}

---

[16]
{
  "formula": "SrBeIr2",
  "functional": "GGA-PBE",
  "state": "relaxed",
  "lattice_angstrom": [[-0.046, 2.928, 0.312], [-2.164, -0.245, 1.982], [5.086, -0.505, 5.491]],
  "species": ["Ir", "Ir", "Be", "Sr"],
  "frac_coords": [[0.000, 0.000, 0.570], [0.000, 0.000, 0.930], [0.500, 0.500, 0.750], [0.500, 0.500, 0.250]],
  "m_tot_mub_per_fu": 0.0,
  "e_form_ev_per_fu": 0.33,
  "sg": "P4/mmm (123)"
}

---

[17]
{
  "formula": "Zn2P2Au",
  "functional": "GGA-PBE",
  "state": "relaxed",
  "lattice_angstrom": [[-2.741, -1.669, -0.795], [-0.096, -1.291, 3.042], [-5.679, 4.394, 3.482]],
  "species": ["P", "P", "Au", "Zn", "Zn"],
  "frac_coords": [[0.250, 0.750, 0.500], [0.750, 0.250, 0.500], [0.000, 0.000, 0.000], [0.597, 0.597, 0.805], [0.403, 0.403, 0.195]],
  "m_tot_mub_per_fu": 0.0,
  "e_form_ev_per_fu": 0.70,
  "sg": "I4/mmm (139)"
}

---

[18]
{
  "formula": "AlSiRu2",
  "functional": "GGA-PBE",
  "state": "relaxed",
  "lattice_angstrom": [[3.126, 0.000, 0.000], [0.000, 3.125, 0.000], [0.000, 0.000, 5.593]],
  "species": ["Ru", "Ru", "Si", "Al"],
  "frac_coords": [[0.500, 0.500, 0.296], [0.000, 0.000, 0.954], [0.000, 0.000, 0.492], [0.500, 0.500, 0.758]],
  "m_tot_mub_per_fu": 0.0,
  "sg": "P4mm (99)",
  "e_form_raw_mev_per_atom": -434
}

---

[19]
{
  "formula": "LaGa3Pd",
  "functional": "GGA-PBE",
  "state": "relaxed",
  "lattice_angstrom": [[-0.010, -2.368, -5.714], [5.057, -2.691, -2.331], [-3.440, -0.158, 5.137]],
  "species": ["Pd", "La", "Ga", "Ga", "Ga"],
  "frac_coords": [[0.250, 0.750, 0.500], [0.000, 0.000, 0.000], [0.617, 0.617, 0.000], [0.750, 0.250, 0.500], [0.383, 0.383, 0.000]],
  "m_tot_mub_per_fu": 0.0,
  "e_form_ev_per_fu": -3.55,
  "sg": "I-4m2 (119)"
}

---

[20]
{
  "formula": "SrMg6Au12",
  "functional": "GGA-PBE",
  "state": "relaxed",
  "lattice_angstrom": [[7.679, -0.073, -0.103], [-1.975, 7.421, -0.103], [-1.975, -2.544, 6.973]],
  "species": ["Sr", "Au", "Au", "Au", "Au", "Au", "Au", "Au", "Au", "Au", "Au", "Au", "Au", "Mg", "Mg", "Mg", "Mg", "Mg", "Mg"],
  "frac_coords": [[0.000, 0.000, 0.000], [0.627, 0.627, 0.874], [0.115, 0.500, 0.885], [0.126, 0.373, 0.373], [0.373, 0.373, 0.126], [0.500, 0.885, 0.115], [0.115, 0.885, 0.500], [0.885, 0.115, 0.500], [0.500, 0.115, 0.885], [0.373, 0.126, 0.373], [0.627, 0.874, 0.627], [0.885, 0.500, 0.115], [0.874, 0.627, 0.627], [0.713, 0.299, 0.713], [0.701, 0.287, 0.287], [0.287, 0.701, 0.287], [0.299, 0.713, 0.713], [0.713, 0.713, 0.299], [0.287, 0.287, 0.701]],
  "m_tot_mub_per_fu": 0.0,
  "e_form_ev_per_fu": -8.01,
  "sg": "R-3m (166)"
}

---

[21]
{
  "formula": "LaPuAl",
  "functional": "GGA-PBE",
  "state": "relaxed",
  "lattice_angstrom": [[5.217, 0.000, 0.000], [-2.609, 4.515, 0.000], [0.000, 0.000, 6.946]],
  "species": ["Al", "Al", "La", "La", "Pu", "Pu"],
  "frac_coords": [[0.833, 0.667, 0.750], [0.167, 0.333, 0.250], [0.500, 0.000, 0.000], [0.500, 0.000, 0.500], [0.167, 0.334, 0.750], [0.833, 0.666, 0.250]],
  "m_tot_mub_per_fu": 6.3,
  "e_form_ev_per_fu": -0.10,
  "sg": "P6_3/mmc (194)"
}

---

[22]
{
  "formula": "TmPuBi2O6",
  "functional": "GGA-PBE",
  "state": "relaxed",
  "lattice_angstrom": [[5.842, 0.000, -0.027], [0.000, 6.274, 0.000], [0.006, 0.000, 8.496]],
  "species": ["O", "O", "O", "O", "O", "O", "O", "O", "O", "O", "O", "O", "Tm", "Tm", "Pu", "Pu", "Bi", "Bi", "Bi", "Bi"],
  "frac_coords": [[0.826, 0.825, 0.935], [0.355, 0.944, 0.756], [0.338, 0.688, 0.069], [0.662, 0.312, 0.931], [0.674, 0.325, 0.565], [0.838, 0.812, 0.569], [0.162, 0.188, 0.431], [0.174, 0.175, 0.065], [0.145, 0.444, 0.744], [0.326, 0.675, 0.435], [0.855, 0.556, 0.256], [0.645, 0.056, 0.244], [0.000, 0.500, 0.500], [0.500, 0.000, 0.000], [0.500, 0.000, 0.500], [0.000, 0.500, 0.000], [0.012, 0.967, 0.249], [0.512, 0.533, 0.749], [0.988, 0.033, 0.751], [0.488, 0.467, 0.251]],
  "m_tot_mub_per_fu": 5.0,
  "sg": "P2_1/c (14)",
  "e_form_raw_mev_per_atom": -2202
}

---

[23]
{
  "formula": "Re4TePt",
  "functional": "GGA-PBE",
  "state": "relaxed",
  "lattice_angstrom": [[1.542, 1.194, 4.906], [0.192, 5.042, 1.553], [-3.508, 1.819, 3.501]],
  "species": ["Pt", "Re", "Re", "Re", "Re", "Te"],
  "frac_coords": [[0.000, 0.000, 0.000], [0.118, 0.627, 0.627], [0.627, 0.627, 0.627], [0.627, 0.118, 0.627], [0.627, 0.627, 0.118], [0.250, 0.250, 0.250]],
  "m_tot_mub_per_fu": 0.0,
  "sg": "F-43m (216)",
  "e_form_raw_mev_per_atom": 792
}